Entry 1:
Below is an optimized crystal structure of RbTlOs3, with properties calculated at the GGA-PBE level.

Output
**Theoretical density**: 11.840 Mg/m³
**Size of the total moment**: 1.166 μB per atom
**Total DFT energy (no corrections)**: -3.521 eV per atom
**DFT formation energy**: 3.8836 eV per atom
**Relative energy among the computed polymorphs**: 948 meV/atom

Lattice parameters (Å, degrees): 4.9418 4.9418 4.9418 90.00 90.00 90.00
Last column: nearest neighbours and their distance in Å.
Fractional positions:
Rb: 0.0000 0.0000 0.0000  6 Os 2.47
Tl: 0.5000 0.5000 0.5000  12 Os 3.49
Os: 0.0000 0.0000 0.5000  2 Rb 2.47
Os: 0.0000 0.5000 0.0000  2 Rb 2.47
Os: 0.5000 0.0000 0.0000  2 Rb 2.47

Entry 2:
Below is an optimized crystal structure of HfSi2Bi, with properties calculated at the GGA-PBE level.

Output
**Theoretical density**: 6.047 Mg/m³
**Size of the total moment**: 0.000 μB per atom
**Uncorrected formation energy**: 0.52 eV per atom
**Total DFT energy (no corrections)**: -5.646 eV per atom

Lattice parameters (Å, degrees): 6.2045 6.2045 12.6581 90.00 90.00 90.00
Last column: nearest neighbours and their distance in Å.
Fractional positions:
Hf: 0.0000 0.0000 0.0000  4 Si 2.63
Hf: 0.0000 0.5000 0.2500  4 Si 2.63
Hf: 0.5000 0.0000 0.7500  4 Si 2.63
Hf: 0.5000 0.5000 0.5000  4 Si 2.63
Si: 0.2296 0.2500 0.1250  2 Hf 2.63, 2 Bi 2.78
Si: 0.2500 0.7296 0.3750  2 Hf 2.63, 2 Bi 2.78
Si: 0.2500 0.7704 0.8750  2 Hf 2.63, 2 Bi 2.78
Si: 0.2704 0.2500 0.6250  2 Hf 2.63, 2 Bi 2.78
Si: 0.7296 0.7500 0.6250  2 Hf 2.63, 2 Bi 2.78
Si: 0.7500 0.2296 0.8750  2 Hf 2.63, 2 Bi 2.78
Si: 0.7500 0.2704 0.3750  2 Hf 2.63, 2 Bi 2.78
Si: 0.7704 0.7500 0.1250  2 Hf 2.63, 2 Bi 2.78
Bi: 0.0000 0.0000 0.5000  4 Si 2.78
Bi: 0.0000 0.5000 0.7500  4 Si 2.78
Bi: 0.5000 0.0000 0.2500  4 Si 2.78
Bi: 0.5000 0.5000 0.0000  4 Si 2.78

Entry 3:
Below is an optimized crystal structure of Hf2SeO2, with properties calculated at the GGA-PBE level.

Output
**Theoretical density**: 10.701 Mg/m³
**Size of the total moment**: 0.000 μB per atom
**Uncorrected formation energy**: -2.40 eV per atom
**Total DFT energy (no corrections)**: -9.066 eV per atom

Lattice parameters (Å, degrees): 3.7136 3.7136 10.5307 90.00 90.00 90.00
Last column: nearest neighbours and their distance in Å.
Fractional positions:
Hf: 0.0000 0.0000 0.1446  4 O 2.16
Hf: 0.0000 0.0000 0.8554  4 O 2.16
Hf: 0.5000 0.5000 0.3554  4 O 2.16
Hf: 0.5000 0.5000 0.6446  4 O 2.16
Se: 0.0000 0.0000 0.5000  8 Hf 3.04, 8 O 3.22
Se: 0.5000 0.5000 0.0000  8 Hf 3.04, 8 O 3.22
O: 0.0000 0.5000 0.2500  4 Hf 2.16
O: 0.0000 0.5000 0.7500  4 Hf 2.16
O: 0.5000 0.0000 0.2500  4 Hf 2.16
O: 0.5000 0.0000 0.7500  4 Hf 2.16

Entry 4:
Below is an optimized crystal structure of TiTcSn2Br, with properties calculated at the GGA-PBE level.

Output
**Theoretical density**: 5.647 Mg/m³
**Size of the total moment**: 0.435 μB per atom
**Uncorrected formation energy**: 1.29 eV per atom
**Total DFT energy (no corrections)**: -4.300 eV per atom

Lattice parameters (Å, degrees): 5.4416 5.4416 4.6001 90.00 90.00 90.00
Last column: nearest neighbours and their distance in Å.
Fractional positions:
Ti: 0.0000 0.0000 0.0000  2 Br 2.30
Tc: 0.5000 0.5000 0.0000  8 Sn 3.56, 4 Ti 3.85
Sn: 0.0000 0.5000 0.5000  2 Br 2.72
Sn: 0.5000 0.0000 0.5000  2 Br 2.72
Br: 0.0000 0.0000 0.5000  2 Ti 2.30

Entry 5:
Below is an optimized crystal structure of SrVPCl2, with properties calculated at the GGA-PBE level.

Output
**Theoretical density**: 3.478 Mg/m³
**Size of the total moment**: 0.400 μB per atom
**Uncorrected formation energy**: -1.05 eV per atom
**Total DFT energy (no corrections)**: -5.035 eV per atom
**Relative energy among the computed polymorphs**: 0 meV/atom

Lattice parameters (Å, degrees): 4.8967 4.8967 4.7873 90.00 90.00 90.00
Last column: nearest neighbours and their distance in Å.
Fractional positions:
Sr: 0.0000 0.0000 0.0000  8 Cl 3.42, 4 P 3.46
V: 0.5000 0.5000 0.5000  2 P 2.39, 4 Cl 2.45
P: 0.5000 0.5000 0.0000  2 V 2.39
Cl: 0.0000 0.5000 0.5000  2 V 2.45
Cl: 0.5000 0.0000 0.5000  2 V 2.45

Entry 6:
Below is an optimized crystal structure of PmAl6Au3, with properties calculated at the GGA-PBE level.

Output
**Theoretical density**: 7.864 Mg/m³
**Size of the total moment**: 0.000 μB per atom
**Total DFT energy (no corrections)**: -4.157 eV per atom
**DFT formation energy**: -0.4529 eV per atom

Lattice parameters (Å, degrees): 8.9365 4.3612 9.8442 90.00 98.79 90.00
Last column: nearest neighbours and their distance in Å.
Fractional positions:
Pm: 0.1013 0.2500 0.2713  9 Al 3.07-3.41, 4 Au 3.17-3.27
Pm: 0.8987 0.7500 0.7287  9 Al 3.07-3.41, 4 Au 3.17-3.27
Al: 0.1000 0.2500 0.9179  4 Au 2.61-2.69, 1 Al 2.88
Al: 0.1587 0.7500 0.5082  3 Au 2.64-2.80, 4 Al 2.83-2.93
Al: 0.2706 0.7500 0.8044  4 Au 2.54-2.83
Al: 0.3463 0.7500 0.3010  3 Au 2.57-2.63, 2 Al 2.74-2.83
Al: 0.3749 0.2500 0.5385  4 Au 2.58-2.73, 1 Al 2.74
Al: 0.4080 0.2500 0.0570  3 Au 2.59-2.90, 1 Al 2.88
Al: 0.5920 0.7500 0.9430  3 Au 2.59-2.90, 1 Al 2.88
Al: 0.6251 0.7500 0.4615  4 Au 2.58-2.73, 1 Al 2.74
Al: 0.6537 0.2500 0.6990  3 Au 2.57-2.63, 2 Al 2.74-2.83
Al: 0.7294 0.2500 0.1956  4 Au 2.54-2.83
Al: 0.8413 0.2500 0.4918  3 Au 2.64-2.80, 4 Al 2.83-2.93
Al: 0.9000 0.7500 0.0821  4 Au 2.61-2.69, 1 Al 2.88
Au: 0.1287 0.2500 0.6521  7 Al 2.62-2.83
Au: 0.1933 0.7500 0.0502  7 Al 2.61-2.90
Au: 0.4994 0.7500 0.6802  7 Al 2.54-2.73
Au: 0.5006 0.2500 0.3198  7 Al 2.54-2.73
Au: 0.8067 0.2500 0.9498  7 Al 2.61-2.90
Au: 0.8713 0.7500 0.3479  7 Al 2.62-2.83

Entry 7:
Below is an optimized crystal structure of PmSmTlIr, with properties calculated at the GGA-PBE level.

Output
**Theoretical density**: 11.212 Mg/m³
**Size of the total moment**: 0.000 μB per atom
**Total DFT energy (no corrections)**: -5.576 eV per atom
**DFT formation energy**: -0.4018 eV per atom
**Relative energy among the computed polymorphs**: 0 meV/atom

Lattice parameters (Å, degrees): 3.7740 5.0033 5.4275 90.00 90.00 90.00
Last column: nearest neighbours and their distance in Å.
Fractional positions:
Pm: 0.0000 0.0000 0.0000  4 Ir 3.20, 4 Tl 3.21-3.40
Sm: 0.0000 0.5000 0.4810  2 Ir 2.88, 4 Tl 3.14
Tl: 0.5000 0.0000 0.5209  4 Sm 3.14, 2 Ir 3.18, 4 Pm 3.21-3.40
Ir: 0.5000 0.5000 0.8820  2 Sm 2.88, 2 Tl 3.18, 4 Pm 3.20

Entry 8:
Below is an optimized crystal structure of Sc4Ga3Rh, with properties calculated at the GGA-PBE level.

Output
**Theoretical density**: 5.301 Mg/m³
**Size of the total moment**: 0.000 μB per atom
**Total DFT energy (no corrections)**: -5.900 eV per atom
**DFT formation energy**: -0.6807 eV per atom
**Relative energy among the computed polymorphs**: 28 meV/atom

Lattice parameters (Å, degrees): 3.4645 4.2548 10.4529 90.00 90.00 90.00
Last column: nearest neighbours and their distance in Å.
Fractional positions:
Sc: 0.0000 0.0000 0.0000  5 Ga 2.80-3.01, 2 Rh 2.84
Sc: 0.0000 0.5000 0.2774  4 Rh 2.82, 3 Ga 2.89-2.94
Sc: 0.5000 0.0000 0.4702  1 Rh 2.66, 4 Ga 2.89
Sc: 0.5000 0.5000 0.7906  7 Ga 2.77-2.98
Ga: 0.0000 0.0000 0.7118  2 Ga 2.66, 4 Sc 2.86
Ga: 0.0000 0.5000 0.5586  2 Ga 2.66, 7 Sc 2.89-2.98
Ga: 0.5000 0.5000 0.0559  2 Rh 2.71, 7 Sc 2.77-2.89
Rh: 0.5000 0.0000 0.2158  7 Sc 2.66-2.84, 2 Ga 2.71

Entry 9:
Below is an optimized crystal structure of Dy3HgAu2, with properties calculated at the GGA-PBE level.

Output
**Theoretical density**: 12.420 Mg/m³
**Size of the total moment**: 0.000 μB per atom
**Total DFT energy (no corrections)**: -4.178 eV per atom
**DFT formation energy**: -0.7344 eV per atom

Lattice parameters (Å, degrees): 3.6518 3.6518 10.8487 90.00 90.00 90.00
Last column: nearest neighbours and their distance in Å.
Fractional positions:
Dy: 0.0000 0.0000 0.0000  8 Au 3.15, 2 Dy 3.52
Dy: 0.0000 0.0000 0.3246  4 Au 3.11, 4 Hg 3.21
Dy: 0.0000 0.0000 0.6754  4 Au 3.11, 4 Hg 3.21
Hg: 0.5000 0.5000 0.5000  8 Dy 3.21
Au: 0.5000 0.5000 0.1656  8 Dy 3.11-3.15
Au: 0.5000 0.5000 0.8344  8 Dy 3.11-3.15

Entry 10:
Below is an optimized crystal structure of HoTh2Zr, with properties calculated at the GGA-PBE level.

Output
**Theoretical density**: 10.236 Mg/m³
**Size of the total moment**: 0.000 μB per atom
**Total DFT energy (no corrections)**: -6.861 eV per atom
**DFT formation energy**: 0.1300 eV per atom
**Relative energy among the computed polymorphs**: 44 meV/atom

Lattice parameters (Å, degrees): 7.7605 7.7605 7.7605 90.00 90.00 90.00
Last column: nearest neighbours and their distance in Å.
Fractional positions:
Ho: 0.0000 0.0000 0.0000  8 Th 3.36
Ho: 0.0000 0.5000 0.5000  8 Th 3.36
Ho: 0.5000 0.0000 0.5000  8 Th 3.36
Ho: 0.5000 0.5000 0.0000  8 Th 3.36
Th: 0.2500 0.2500 0.2500  4 Zr 3.36, 4 Ho 3.36
Th: 0.2500 0.2500 0.7500  4 Zr 3.36, 4 Ho 3.36
Th: 0.2500 0.7500 0.2500  4 Zr 3.36, 4 Ho 3.36
Th: 0.2500 0.7500 0.7500  4 Zr 3.36, 4 Ho 3.36
Th: 0.7500 0.2500 0.2500  4 Zr 3.36, 4 Ho 3.36
Th: 0.7500 0.2500 0.7500  4 Zr 3.36, 4 Ho 3.36
Th: 0.7500 0.7500 0.2500  4 Zr 3.36, 4 Ho 3.36
Th: 0.7500 0.7500 0.7500  4 Ho 3.36, 4 Zr 3.36
Zr: 0.0000 0.0000 0.5000  8 Th 3.36
Zr: 0.0000 0.5000 0.0000  8 Th 3.36
Zr: 0.5000 0.0000 0.0000  8 Th 3.36
Zr: 0.5000 0.5000 0.5000  8 Th 3.36

Entry 11:
Below is an optimized crystal structure of Li3Sn2Pt2, with properties calculated at the GGA-PBE level.

Output
**Theoretical density**: 9.003 Mg/m³
**Size of the total moment**: 0.000 μB per atom
**Total DFT energy (no corrections)**: -4.340 eV per atom
**DFT formation energy**: -0.6497 eV per atom

Lattice parameters (Å, degrees): 7.9006 4.5504 7.1542 90.00 111.56 90.00
Last column: nearest neighbours and their distance in Å.
Fractional positions:
Li: 0.0000 0.0000 0.0000  6 Pt 2.85-2.86, 2 Li 2.85, 6 Sn 3.11-3.12
Li: 0.1429 0.0000 0.4288  1 Pt 2.70, 4 Li 2.80-2.85, 3 Sn 2.89
Li: 0.3571 0.5000 0.5712  1 Pt 2.70, 4 Li 2.80-2.85, 3 Sn 2.89
Li: 0.5000 0.5000 0.0000  6 Pt 2.85-2.86, 2 Li 2.85, 6 Sn 3.11-3.12
Li: 0.6429 0.5000 0.4288  1 Pt 2.70, 4 Li 2.80-2.85, 3 Sn 2.89
Li: 0.8571 0.0000 0.5712  1 Pt 2.70, 4 Li 2.80-2.85, 3 Sn 2.89
Sn: 0.0834 0.5000 0.7498  4 Pt 2.69-2.76, 3 Li 2.89
Sn: 0.4166 0.0000 0.2502  4 Pt 2.69-2.76, 3 Li 2.89
Sn: 0.5834 0.0000 0.7498  4 Pt 2.69-2.76, 3 Li 2.89
Sn: 0.9166 0.5000 0.2502  4 Pt 2.69-2.76, 3 Li 2.89
Pt: 0.2214 0.5000 0.1652  4 Sn 2.69-2.76, 4 Li 2.70-2.86
Pt: 0.2786 0.0000 0.8348  4 Sn 2.69-2.76, 4 Li 2.70-2.86
Pt: 0.7214 0.0000 0.1652  4 Sn 2.69-2.76, 4 Li 2.70-2.86
Pt: 0.7786 0.5000 0.8348  4 Sn 2.69-2.76, 4 Li 2.70-2.86

Entry 12:
Below is an optimized crystal structure of Nd2BePtO6, with properties calculated at the GGA-PBE level.

Output
**Theoretical density**: 8.508 Mg/m³
**Size of the total moment**: 0.000 μB per atom
**Uncorrected formation energy**: -2.28 eV per atom
**Total DFT energy (no corrections)**: -7.187 eV per atom

Lattice parameters (Å, degrees): 5.4350 5.5455 9.3599 90.00 125.47 90.00
Last column: nearest neighbours and their distance in Å.
Fractional positions:
Nd: 0.2383 0.0528 0.2492  6 O 2.37-2.56
Nd: 0.2383 0.4472 0.7492  6 O 2.37-2.56
Nd: 0.7617 0.5528 0.2508  6 O 2.37-2.56
Nd: 0.7617 0.9472 0.7508  6 O 2.37-2.56
Be: 0.0000 0.0000 0.5000  6 O 1.86-1.93
Be: 0.0000 0.5000 0.0000  6 O 1.86-1.93
Pt: 0.5000 0.0000 0.0000  6 O 2.06
Pt: 0.5000 0.5000 0.5000  6 O 2.06
O: 0.1546 0.2181 0.9547  1 Be 1.93, 1 Pt 2.06
O: 0.1546 0.2819 0.4547  1 Be 1.93, 1 Pt 2.06
O: 0.2406 0.7013 0.9573  1 Be 1.93, 1 Pt 2.06
O: 0.2406 0.7987 0.4573  1 Be 1.93, 1 Pt 2.06
O: 0.3185 0.0161 0.7369  1 Be 1.86, 1 Pt 2.06
O: 0.3185 0.4839 0.2369  1 Be 1.86, 1 Pt 2.06
O: 0.6815 0.5161 0.7631  1 Be 1.86, 1 Pt 2.06
O: 0.6815 0.9839 0.2631  1 Be 1.86, 1 Pt 2.06
O: 0.7594 0.2013 0.5427  1 Be 1.93, 1 Pt 2.06
O: 0.7594 0.2987 0.0427  1 Be 1.93, 1 Pt 2.06
O: 0.8454 0.7181 0.5453  1 Be 1.93, 1 Pt 2.06
O: 0.8454 0.7819 0.0453  1 Be 1.93, 1 Pt 2.06

Which formula does entry 3 have?
Hf2SeO2

theoretical density of number 4 (TiTcSn2Br)?
5.647 Mg/m³